(1)
## TcNiSe2N (PBE-GGA)

Data for a relaxed structure of TcNiSe2N.

Unit cell a=4.992 b=4.992 c=3.669 alpha=90.00 beta=90.00 gamma=90.00
Space group P4/mmm (No. 123)
Symmetry-distinct sites (fractional):
Tc  0.000  0.000  0.000 [1 per cell]
Ni  0.500  0.500  0.500 [1 per cell]
Se  0.000  0.500  0.000 [2 per cell]
N  0.000  0.000  0.500 [1 per cell]

Output
The energy relative to the lowest polymorph listed for this composition comes out at 0.0 meV/atom. The calculated volume is 18.3 Å³/atom. The value obtained for the density of states at the Fermi level is 5.31 states/eV/cell. The calculation puts the total energy at -0.4167 Ry/atom. As for the formation energy without anion corrections: 0.619 eV/atom.

---

(2)
## NiTeSeN2 (PBE-GGA)

Data for a relaxed structure of NiTeSeN2.

Unit cell a=3.810 b=3.810 c=5.681 alpha=90.00 beta=90.00 gamma=90.00
Space group P4/mmm (No. 123)
Symmetry-distinct sites (fractional):
Ni  0.000  0.000  0.000 [1 per cell]
Te  0.000  0.000  0.500 [1 per cell]
Se  0.500  0.500  0.500 [1 per cell]
N  0.000  0.500  0.000 [2 per cell]

Output
The energy relative to the lowest polymorph listed for this composition comes out at 67.4 meV/atom. The calculated volume is 16.5 Å³/atom. The value obtained for the density of states at the Fermi level is 5.15 states/eV/cell. The calculation puts the total energy at -0.3279 Ry/atom. As for the formation energy without anion corrections: 1.351 eV/atom.

---

(3)
## NiTeSe2N (PBE-GGA)

Data for a relaxed structure of NiTeSe2N.

Unit cell a=5.059 b=5.059 c=3.514 alpha=90.00 beta=90.00 gamma=90.00
Space group P4/mmm (No. 123)
Symmetry-distinct sites (fractional):
Ni  0.000  0.000  0.000 [1 per cell]
Te  0.500  0.500  0.500 [1 per cell]
Se  0.000  0.500  0.000 [2 per cell]
N  0.000  0.000  0.500 [1 per cell]

Output
The energy relative to the lowest polymorph listed for this composition comes out at 0.0 meV/atom. The calculated volume is 18.0 Å³/atom. The value obtained for the density of states at the Fermi level is 4.15 states/eV/cell. The calculation puts the total energy at -0.3173 Ry/atom. As for the formation energy without anion corrections: 0.527 eV/atom.

---

(4)
## NiTeSeN2 (PBE-GGA)

Data for a relaxed structure of NiTeSeN2.

Unit cell a=3.862 b=3.862 c=5.943 alpha=90.00 beta=90.00 gamma=90.00
Space group P4/mmm (No. 123)
Symmetry-distinct sites (fractional):
Ni  0.000  0.000  0.000 [1 per cell]
Te  0.500  0.500  0.500 [1 per cell]
Se  0.500  0.500  0.000 [1 per cell]
N  0.000  0.500  0.500 [2 per cell]

Output
The energy relative to the lowest polymorph listed for this composition comes out at 262.4 meV/atom. The calculated volume is 17.7 Å³/atom. The value obtained for the density of states at the Fermi level is 5.22 states/eV/cell. The calculation puts the total energy at -0.3136 Ry/atom. As for the formation energy without anion corrections: 1.545 eV/atom.

---

(5)
## NiTeSeN2 (PBE-GGA)

Data for a relaxed structure of NiTeSeN2.

Unit cell a=3.921 b=3.921 c=5.023 alpha=90.00 beta=90.00 gamma=90.00
Space group P4/mmm (No. 123)
Symmetry-distinct sites (fractional):
Ni  0.000  0.000  0.000 [1 per cell]
Te  0.500  0.500  0.500 [1 per cell]
Se  0.000  0.000  0.500 [1 per cell]
N  0.000  0.500  0.000 [2 per cell]

Output
The energy relative to the lowest polymorph listed for this composition comes out at 0.0 meV/atom. The calculated volume is 15.4 Å³/atom. The value obtained for the density of states at the Fermi level is 2.94 states/eV/cell. The calculation puts the total energy at -0.3328 Ry/atom. As for the formation energy without anion corrections: 1.283 eV/atom.

---

(6)
## NiTeSeN2 (PBE-GGA)

Data for a relaxed structure of NiTeSeN2.

Unit cell a=3.679 b=3.679 c=7.070 alpha=90.00 beta=90.00 gamma=90.00
Space group P4/mmm (No. 123)
Symmetry-distinct sites (fractional):
Ni  0.000  0.000  0.000 [1 per cell]
Te  0.500  0.500  0.000 [1 per cell]
Se  0.500  0.500  0.500 [1 per cell]
N  0.000  0.500  0.500 [2 per cell]

Output
The energy relative to the lowest polymorph listed for this composition comes out at 289.0 meV/atom. The calculated volume is 19.1 Å³/atom. The value obtained for the density of states at the Fermi level is 4.47 states/eV/cell. The calculation puts the total energy at -0.3116 Ry/atom. As for the formation energy without anion corrections: 1.572 eV/atom.

---

(7)
## NiTeSe2N (PBE-GGA)

Data for a relaxed structure of NiTeSe2N.

Unit cell a=5.366 b=5.366 c=3.888 alpha=90.00 beta=90.00 gamma=90.00
Space group P4/mmm (No. 123)
Symmetry-distinct sites (fractional):
Ni  0.000  0.000  0.000 [1 per cell]
Te  0.500  0.500  0.500 [1 per cell]
Se  0.000  0.500  0.500 [2 per cell]
N  0.500  0.500  0.000 [1 per cell]

Output
The energy relative to the lowest polymorph listed for this composition comes out at 776.1 meV/atom. The calculated volume is 22.4 Å³/atom. The value obtained for the density of states at the Fermi level is 6.67 states/eV/cell. The calculation puts the total energy at -0.2602 Ry/atom. As for the formation energy without anion corrections: 1.303 eV/atom.

---

(8)
## TiNiSeN2 (PBE-GGA)

Data for a relaxed structure of TiNiSeN2.

Unit cell a=3.725 b=3.725 c=4.654 alpha=90.00 beta=90.00 gamma=90.00
Space group P4/mmm (No. 123)
Symmetry-distinct sites (fractional):
Ti  0.000  0.000  0.000 [1 per cell]
Ni  0.500  0.500  0.500 [1 per cell]
Se  0.500  0.500  0.000 [1 per cell]
N  0.000  0.500  0.500 [2 per cell]

Output
The energy relative to the lowest polymorph listed for this composition comes out at 270.2 meV/atom. The calculated volume is 12.9 Å³/atom. The value obtained for the density of states at the Fermi level is 5.29 states/eV/cell. The calculation puts the total energy at -0.4383 Ry/atom. As for the formation energy without anion corrections: 0.799 eV/atom.

---

(9)
## TiNiSeN2 (PBE-GGA)

Data for a relaxed structure of TiNiSeN2.

Unit cell a=3.787 b=3.787 c=5.497 alpha=90.00 beta=90.00 gamma=90.00
Space group P4/mmm (No. 123)
Symmetry-distinct sites (fractional):
Ti  0.000  0.000  0.000 [1 per cell]
Ni  0.500  0.500  0.500 [1 per cell]
Se  0.000  0.000  0.500 [1 per cell]
N  0.000  0.500  0.000 [2 per cell]

Output
The energy relative to the lowest polymorph listed for this composition comes out at 0.0 meV/atom. The calculated volume is 15.8 Å³/atom. The value obtained for the density of states at the Fermi level is 5.27 states/eV/cell. The calculation puts the total energy at -0.4582 Ry/atom. As for the formation energy without anion corrections: 0.528 eV/atom.

---

(10)
## TiNiSe2N (PBE-GGA)

Data for a relaxed structure of TiNiSe2N.

Unit cell a=4.873 b=4.873 c=3.435 alpha=90.00 beta=90.00 gamma=90.00
Space group P4/mmm (No. 123)
Symmetry-distinct sites (fractional):
Ti  0.000  0.000  0.000 [1 per cell]
Ni  0.500  0.500  0.500 [1 per cell]
Se  0.000  0.500  0.500 [2 per cell]
N  0.500  0.500  0.000 [1 per cell]

Output
The energy relative to the lowest polymorph listed for this composition comes out at 0.0 meV/atom. The calculated volume is 16.3 Å³/atom. The value obtained for the density of states at the Fermi level is 5.58 states/eV/cell. The calculation puts the total energy at -0.4053 Ry/atom. As for the formation energy without anion corrections: 0.279 eV/atom.

---

(11)
## Ti2NiSeN (PBE-GGA)

Data for a relaxed structure of Ti2NiSeN.

Unit cell a=4.752 b=4.752 c=3.747 alpha=90.00 beta=90.00 gamma=90.00
Space group P4/mmm (No. 123)
Symmetry-distinct sites (fractional):
Ti  0.000  0.500  0.000 [2 per cell]
Ni  0.000  0.000  0.500 [1 per cell]
Se  0.500  0.500  0.000 [1 per cell]
N  0.500  0.500  0.500 [1 per cell]

Output
The calculated volume is 16.9 Å³/atom. The value obtained for the density of states at the Fermi level is 5.85 states/eV/cell. The calculation puts the total energy at -0.4224 Ry/atom. As for the formation energy without anion corrections: 0.929 eV/atom.

---

(12)
## TiNiSe2N (PBE-GGA)

Data for a relaxed structure of TiNiSe2N.

Unit cell a=5.039 b=5.039 c=3.706 alpha=90.00 beta=90.00 gamma=90.00
Space group P4/mmm (No. 123)
Symmetry-distinct sites (fractional):
Ti  0.000  0.000  0.000 [1 per cell]
Ni  0.500  0.500  0.500 [1 per cell]
Se  0.000  0.500  0.000 [2 per cell]
N  0.000  0.000  0.500 [1 per cell]

Output
The energy relative to the lowest polymorph listed for this composition comes out at 17.3 meV/atom. The calculated volume is 18.8 Å³/atom. The value obtained for the density of states at the Fermi level is 6.11 states/eV/cell. The calculation puts the total energy at -0.4041 Ry/atom. As for the formation energy without anion corrections: 0.297 eV/atom.

---

(13)
## VNiSe2N (PBE-GGA)

Data for a relaxed structure of VNiSe2N.

Unit cell a=4.890 b=4.890 c=3.386 alpha=90.00 beta=90.00 gamma=90.00
Space group P4/mmm (No. 123)
Symmetry-distinct sites (fractional):
V  0.000  0.000  0.000 [1 per cell]
Ni  0.500  0.500  0.500 [1 per cell]
Se  0.000  0.500  0.500 [2 per cell]
N  0.500  0.500  0.000 [1 per cell]

Output
The energy relative to the lowest polymorph listed for this composition comes out at 283.4 meV/atom. The calculated volume is 16.2 Å³/atom. The value obtained for the density of states at the Fermi level is 6.39 states/eV/cell. The calculation puts the total energy at -0.3974 Ry/atom. As for the formation energy without anion corrections: 0.632 eV/atom.

---

(14)
## VNiSe2N (PBE-GGA)

Data for a relaxed structure of VNiSe2N.

Unit cell a=4.914 b=4.914 c=3.567 alpha=90.00 beta=90.00 gamma=90.00
Space group P4/mmm (No. 123)
Symmetry-distinct sites (fractional):
V  0.000  0.000  0.000 [1 per cell]
Ni  0.500  0.500  0.500 [1 per cell]
Se  0.000  0.500  0.000 [2 per cell]
N  0.000  0.000  0.500 [1 per cell]

Output
The energy relative to the lowest polymorph listed for this composition comes out at 0.0 meV/atom. The calculated volume is 17.2 Å³/atom. The value obtained for the density of states at the Fermi level is 4.66 states/eV/cell. The calculation puts the total energy at -0.4182 Ry/atom. As for the formation energy without anion corrections: 0.349 eV/atom.

---

(15)
## NiW2SeN (PBE-GGA)

Data for a relaxed structure of NiW2SeN.

Unit cell a=3.995 b=3.995 c=4.635 alpha=90.00 beta=90.00 gamma=90.00
Space group P4/mmm (No. 123)
Symmetry-distinct sites (fractional):
Ni  0.000  0.000  0.000 [1 per cell]
W  0.000  0.500  0.500 [2 per cell]
Se  0.500  0.500  0.000 [1 per cell]
N  0.500  0.500  0.500 [1 per cell]

Output
The calculated volume is 14.8 Å³/atom. The value obtained for the density of states at the Fermi level is 3.44 states/eV/cell. The calculation puts the total energy at -0.5842 Ry/atom. As for the formation energy without anion corrections: 0.751 eV/atom.